# 1
## Nd3ErZn2 (GGA-PBE)

Data for crystalline Nd3ErZn2 at its relaxed geometry.

The space group is Ibam (No. 72) and the conventional cell measures 6.9920, 14.6817 and 7.3120 Å, with angles of 90.00, 90.00 and 90.00 degrees. Symmetry generates all atoms from Nd at (0.0000, 0.0000, 0.2500), Nd at (0.0000, 0.2749, 0.2500), Er at (0.0000, 0.5000, 0.0000) and Zn at (0.2055, 0.1362, 0.0000).

The relative energy among the computed polymorphs is 250 meV/atom. For the volume, the calculation gives 31.28 A^3/atom. The energy relative to the elements is 0.06 eV/atom. Its total DFT energy (no corrections) is -0.2582 Ry/atom.

---

# 2
## NdErZr (GGA-PBE)

Data for crystalline NdErZr at its relaxed geometry.

The space group is P3m1 (No. 156) and the conventional cell measures 3.4388, 3.4388 and 8.4793 Å, with angles of 90.00, 90.00 and 120.00 degrees. Symmetry generates all atoms from Nd at (0.0000, 0.0000, 0.0000), Er at (0.3333, 0.6667, 0.6290) and Zr at (0.6667, 0.3333, 0.3207).

The relative energy among the computed polymorphs is 11 meV/atom. For the volume, the calculation gives 28.95 A^3/atom. The energy relative to the elements is 0.11 eV/atom. Its total DFT energy (no corrections) is -0.4299 Ry/atom.

---

# 3
## NdErZr (GGA-PBE)

Data for crystalline NdErZr at its relaxed geometry.

The space group is I4mm (No. 107) and the conventional cell measures 3.4040, 3.4040 and 15.0411 Å, with angles of 90.00, 90.00 and 90.00 degrees. Symmetry generates all atoms from Nd at (0.0000, 0.0000, 0.0000), Er at (0.0000, 0.0000, 0.6884) and Zr at (0.0000, 0.0000, 0.3375).

The relative energy among the computed polymorphs is 0 meV/atom. For the volume, the calculation gives 29.05 A^3/atom. The energy relative to the elements is 0.10 eV/atom. Its total DFT energy (no corrections) is -0.4307 Ry/atom.

---

# 4
## NdErZr (GGA-PBE)

Data for crystalline NdErZr at its relaxed geometry.

The space group is Pmma (No. 51) and the conventional cell measures 6.3331, 3.2686 and 8.4848 Å, with angles of 90.00, 90.00 and 90.00 degrees. Symmetry generates all atoms from Nd at (0.2500, 0.0000, 0.1338), Er at (0.0000, 0.0000, 0.5000) and Zr at (0.2500, 0.5000, 0.7883).

The relative energy among the computed polymorphs is 158 meV/atom. For the volume, the calculation gives 29.27 A^3/atom. The energy relative to the elements is 0.26 eV/atom. Its total DFT energy (no corrections) is -0.4191 Ry/atom.

---

# 5
## Nd14ErZr (GGA-PBE)

Data for crystalline Nd14ErZr at its relaxed geometry.

The space group is P4/mmm (No. 123) and the conventional cell measures 7.2732, 7.2732 and 10.2860 Å, with angles of 90.00, 90.00 and 90.00 degrees. Symmetry generates all atoms from Nd at (0.0000, 0.0000, 0.0000), Nd at (0.0000, 0.5000, 0.0000), Nd at (0.0000, 0.5000, 0.5000), Nd at (0.2451, 0.2451, 0.2577), Nd at (0.5000, 0.5000, 0.0000), Er at (0.5000, 0.5000, 0.5000) and Zr at (0.0000, 0.0000, 0.5000).

For the volume, the calculation gives 34.01 A^3/atom. The energy relative to the elements is 0.05 eV/atom. Its total DFT energy (no corrections) is -0.3634 Ry/atom.

---

# 6
## NdErZr (GGA-PBE)

Data for crystalline NdErZr at its relaxed geometry.

The space group is P2_1/m (No. 11) and the conventional cell measures 3.3949, 4.8288 and 10.7133 Å, with angles of 90.00, 99.08 and 90.00 degrees. Symmetry generates all atoms from Nd at (0.0526, 0.2500, 0.1015), Er at (0.3614, 0.2500, 0.7261) and Zr at (0.2155, 0.2500, 0.4292).

The relative energy among the computed polymorphs is 30 meV/atom. For the volume, the calculation gives 28.90 A^3/atom. The energy relative to the elements is 0.13 eV/atom. Its total DFT energy (no corrections) is -0.4285 Ry/atom.

---

# 7
## ErNi5 (GGA-PBE)

Data for crystalline ErNi5 at its relaxed geometry.

The space group is P6/mmm (No. 191) and the conventional cell measures 4.8593, 4.8593 and 3.9527 Å, with angles of 90.00, 90.00 and 120.00 degrees. Symmetry generates all atoms from Er at (0.0000, 0.0000, 0.0000), Ni at (0.0000, 0.5000, 0.5000) and Ni at (0.3333, 0.6667, 0.0000).

For the volume, the calculation gives 13.47 A^3/atom. The energy relative to the elements is -0.34 eV/atom. Its total DFT energy (no corrections) is -0.4346 Ry/atom.

---

# 8
## ErNi6 (GGA-PBE)

Data for crystalline ErNi6 at its relaxed geometry.

The space group is Pnma (No. 62) and the conventional cell measures 7.7524, 4.8142 and 9.7432 Å, with angles of 90.00, 90.00 and 90.00 degrees. Symmetry generates all atoms from Er at (0.2420, 0.2500, 0.0612), Ni at (0.0609, 0.7500, 0.0908), Ni at (0.0674, 0.0063, 0.3080), Ni at (0.1029, 0.2500, 0.5189), Ni at (0.1472, 0.7500, 0.8520) and Ni at (0.1821, 0.2500, 0.7576).

The relative energy among the computed polymorphs is 0 meV/atom. For the volume, the calculation gives 12.99 A^3/atom. The energy relative to the elements is -0.22 eV/atom. Its total DFT energy (no corrections) is -0.4284 Ry/atom.

---

# 9
## Er2Ni7 (GGA-PBE)

Data for crystalline Er2Ni7 at its relaxed geometry.

The space group is P6_3/mmc (No. 194) and the conventional cell measures 4.9151, 4.9151 and 24.0328 Å, with angles of 90.00, 90.00 and 120.00 degrees. Symmetry generates all atoms from Er at (0.3333, 0.6667, 0.0293), Er at (0.3333, 0.6667, 0.1742), Ni at (0.0000, 0.0000, 0.0000), Ni at (0.0000, 0.0000, 0.1673), Ni at (0.1668, 0.3336, 0.7500), Ni at (0.1673, 0.3347, 0.5850) and Ni at (0.3333, 0.6667, 0.6671).

For the volume, the calculation gives 13.97 A^3/atom. The energy relative to the elements is -0.41 eV/atom. Its total DFT energy (no corrections) is -0.4349 Ry/atom.

---

# 10
## Er4Ni (GGA-PBE)

Data for crystalline Er4Ni at its relaxed geometry.

The space group is I-42d (No. 122) and the conventional cell measures 8.3905, 8.3905 and 7.7573 Å, with angles of 90.00, 90.00 and 90.00 degrees. Symmetry generates all atoms from Er at (0.0333, 0.7028, 0.4115) and Ni at (0.0000, 0.0000, 0.5000).

The relative energy among the computed polymorphs is 0 meV/atom. For the volume, the calculation gives 27.31 A^3/atom. The energy relative to the elements is -0.14 eV/atom. Its total DFT energy (no corrections) is -0.3632 Ry/atom.

---

# 11
## Er2Ni17 (GGA-PBE)

Data for crystalline Er2Ni17 at its relaxed geometry.

The space group is P6_3/mmc (No. 194) and the conventional cell measures 8.2682, 8.2682 and 8.0073 Å, with angles of 90.00, 90.00 and 120.00 degrees. Symmetry generates all atoms from Er at (0.0000, 0.0000, 0.2500), Er at (0.3333, 0.6667, 0.2500), Ni at (0.0000, 0.5000, 0.0000), Ni at (0.0426, 0.3703, 0.7500), Ni at (0.1655, 0.3310, 0.0215) and Ni at (0.3333, 0.6667, 0.6015).

The relative energy among the computed polymorphs is 0 meV/atom. For the volume, the calculation gives 12.48 A^3/atom. The energy relative to the elements is -0.21 eV/atom. Its total DFT energy (no corrections) is -0.4306 Ry/atom.

---

# 12
## ErNi4 (GGA-PBE)

Data for crystalline ErNi4 at its relaxed geometry.

The space group is C2/m (No. 12) and the conventional cell measures 4.8336, 8.4391 and 10.1834 Å, with angles of 90.00, 99.30 and 90.00 degrees. Symmetry generates all atoms from Er at (0.0000, 0.0000, 0.0000), Er at (0.1281, 0.0000, 0.3556), Ni at (0.0000, 0.3350, 0.0000), Ni at (0.0703, 0.5000, 0.2005), Ni at (0.1339, 0.3250, 0.4041) and Ni at (0.1845, 0.2504, 0.8026).

For the volume, the calculation gives 13.66 A^3/atom. The energy relative to the elements is -0.37 eV/atom. Its total DFT energy (no corrections) is -0.4345 Ry/atom.